(1)
Computed, not measured: a relaxed structure of Mn2Ir2W at the GGA-PBE level of DFT.

Cell and atoms, written as extended XYZ:
```
10
Lattice="7.093 0.000 0.000 0.000 7.093 0.000 0.000 0.000 2.701" Properties=species:S:1:pos:R:3 pbc="T T T"
Mn 0.830 2.716 0.000
Mn 2.716 6.263 0.000
Mn 4.377 0.830 0.000
Mn 6.263 4.377 0.000
Ir 1.256 4.802 1.350
Ir 2.291 1.256 1.350
Ir 4.802 5.838 1.350
Ir 5.838 2.291 1.350
W 0.000 0.000 0.000
W 3.547 3.547 0.000
```

Calculated values
Size of the total moment in μB per atom: 0.233
SG: P4/mbm, No. 127
Distance to the lowest polymorph of the same formula in eV/f.u.: 0.00



(2)
Computed, not measured: a relaxed structure of Tb4Sm3Hg at the GGA-PBE level of DFT.

Cell and atoms, written as extended XYZ:
```
8
Lattice="3.608 0.000 0.000 0.000 3.608 0.000 0.000 0.000 19.190" Properties=species:S:1:pos:R:3 pbc="T T T"
Tb 0.000 0.000 2.000
Tb 0.000 0.000 7.061
Tb 0.000 0.000 12.130
Tb 0.000 0.000 17.190
Sm 1.804 1.804 4.525
Sm 1.804 1.804 9.595
Sm 1.804 1.804 14.665
Hg 1.804 1.804 0.000
```

Calculated values
Size of the total moment in μB per atom: 0.000
SG: P4/mmm, No. 123



(3)
Computed, not measured: a relaxed structure of HfZn3Sb at the GGA-PBE level of DFT.

Cell and atoms, written as extended XYZ:
```
5
Lattice="5.162 0.000 0.000 0.000 5.162 0.000 0.000 0.000 5.162" Properties=species:S:1:pos:R:3 pbc="T T T"
Hf 0.000 0.000 0.000
Zn 0.000 0.000 2.581
Zn 0.000 2.581 0.000
Zn 2.581 0.000 0.000
Sb 2.581 2.581 2.581
```

Calculated values
Size of the total moment in μB per atom: 0.000
SG: Pm-3m, No. 221
Uncorrected formation energy in eV/f.u.: 4.6
Distance to the lowest polymorph of the same formula in eV/f.u.: 0.00



(4)
Computed, not measured: a relaxed structure of SrTeMo2 at the GGA-PBE level of DFT.

Cell and atoms, written as extended XYZ:
```
4
Lattice="3.815 0.000 0.000 0.000 4.532 0.000 0.000 0.000 5.059" Properties=species:S:1:pos:R:3 pbc="T T T"
Sr 0.000 0.000 0.000
Te 1.908 2.266 0.000
Mo 0.000 2.266 2.530
Mo 1.908 0.000 2.530
```

Calculated values
Size of the total moment in μB per atom: 0.013
SG: Pmmm, No. 47
Uncorrected formation energy in eV/f.u.: 3.1



Sequential raw total energy output: -9.81, -4.23, -2.67, -5.85 eV per atom